The following is a PBE calculation of a geometry-optimized PbSeOF2 structure, from Alexandria via LeMat-Bulk.

```
data_PbSeOF2
_chemical_formula_sum 'Pb1 Se1 O1 F2'
_cell_length_a 4.646
_cell_length_b 4.646
_cell_length_c 4.296
_cell_angle_alpha 90.00
_cell_angle_beta 90.00
_cell_angle_gamma 90.00
_symmetry_space_group_name_H-M 'P 4/m m m'
_symmetry_Int_Tables_number 123
_symmetry_space_group_name_Hall '-P 4 2'
loop_
_atom_site_label
_atom_site_type_symbol
_atom_site_fract_x
_atom_site_fract_y
_atom_site_fract_z
Pb1 Pb 0.000 0.000 0.000
Se1 Se 0.500 0.500 0.500
O1 O 0.000 0.000 0.500
F1 F 0.000 0.500 0.000
```

Computed properties:
Size of the total moment (μB per formula unit): 2.7
Total DFT energy (no corrections) (Ry/atom): -0.2889
Calculated density (g/cm3): 6.091

---

The following is a PBE calculation of a geometry-optimized SiPbO2F structure, from Alexandria via LeMat-Bulk.

```
data_SiPbO2F
_chemical_formula_sum 'Si1 Pb1 O2 F1'
_cell_length_a 4.350
_cell_length_b 4.350
_cell_length_c 4.486
_cell_angle_alpha 90.00
_cell_angle_beta 90.00
_cell_angle_gamma 90.00
_symmetry_space_group_name_H-M 'P 4/m m m'
_symmetry_Int_Tables_number 123
_symmetry_space_group_name_Hall '-P 4 2'
loop_
_atom_site_label
_atom_site_type_symbol
_atom_site_fract_x
_atom_site_fract_y
_atom_site_fract_z
Si1 Si 0.000 0.000 0.000
Pb1 Pb 0.500 0.500 0.500
O1 O 0.000 0.500 0.500
F1 F 0.500 0.500 0.000
```

Computed properties:
Size of the total moment (μB per formula unit): 0.0
Total DFT energy (no corrections) (Ry/atom): -0.3368
Calculated density (g/cm3): 5.601

---

The following is a PBE calculation of a geometry-optimized SiPbO2F structure, from Alexandria via LeMat-Bulk.

```
data_SiPbO2F
_chemical_formula_sum 'Si1 Pb1 O2 F1'
_cell_length_a 3.751
_cell_length_b 3.751
_cell_length_c 4.491
_cell_angle_alpha 90.00
_cell_angle_beta 90.00
_cell_angle_gamma 90.00
_symmetry_space_group_name_H-M 'P 4/m m m'
_symmetry_Int_Tables_number 123
_symmetry_space_group_name_Hall '-P 4 2'
loop_
_atom_site_label
_atom_site_type_symbol
_atom_site_fract_x
_atom_site_fract_y
_atom_site_fract_z
Si1 Si 0.000 0.000 0.000
Pb1 Pb 0.500 0.500 0.500
O1 O 0.000 0.500 0.000
F1 F 0.000 0.000 0.500
```

Computed properties:
Size of the total moment (μB per formula unit): 0.0
Total DFT energy (no corrections) (Ry/atom): -0.4196
Calculated density (g/cm3): 7.525